Record 1
Dy4GaAs3 after structural relaxation, computed with GGA-PBE.

## Properties
Energy, eV/atom: -5.61
ΔE_f, kcal/mol of atoms: -27.32

```
data_Dy4GaAs3
_chemical_formula_sum 'Dy4 Ga1 As3'
_cell_length_a 5.8391
_cell_length_b 5.8391
_cell_length_c 5.8391
_cell_angle_alpha 90.00
_cell_angle_beta 90.00
_cell_angle_gamma 90.00
_space_group_name_H-M_alt 'P 1'
_space_group_IT_number 1
loop_
_space_group_symop_operation_xyz
'x,y,z'
loop_
_atom_site_label
_atom_site_fract_x
_atom_site_fract_y
_atom_site_fract_z
_atom_site_occupancy
As1 0.0000 0.5000 0.5000 1
As2 0.5000 0.0000 0.5000 1
As3 0.5000 0.5000 0.0000 1
Ga1 0.0000 0.0000 0.0000 1
Dy1 0.5000 0.0000 0.0000 1
Dy2 0.0000 0.5000 0.0000 1
Dy3 0.0000 0.0000 0.5000 1
Dy4 0.5000 0.5000 0.5000 1
```

***

Record 2
DyGa2As after structural relaxation, computed with GGA-PBE.

## Properties
Energy, eV/atom: -4.39
ΔE_f, kcal/mol of atoms: -13.08

```
data_DyGa2As
_chemical_formula_sum 'Dy1 Ga2 As1'
_cell_length_a 4.5988
_cell_length_b 4.1908
_cell_length_c 4.1908
_cell_angle_alpha 90.00
_cell_angle_beta 90.00
_cell_angle_gamma 90.00
_space_group_name_H-M_alt 'P 1'
_space_group_IT_number 1
loop_
_space_group_symop_operation_xyz
'x,y,z'
loop_
_atom_site_label
_atom_site_fract_x
_atom_site_fract_y
_atom_site_fract_z
_atom_site_occupancy
As1 0.5000 0.5000 0.5000 1
Ga1 0.0000 0.0000 0.5000 1
Ga2 0.0000 0.5000 0.0000 1
Dy1 0.5000 0.0000 0.0000 1
```